# 1
# PBE UTlTe3Se, relaxed
data_UTlTe3Se
_space_group_name_H-M_alt 'P 1 21/m 1'
_space_group_IT_number 11
_space_group_name_Hall '-P 2yb'
_cell_length_a 9.253
_cell_length_b 4.201
_cell_length_c 10.947
_cell_angle_alpha 90.00
_cell_angle_beta 109.93
_cell_angle_gamma 90.00
loop_
_atom_site_label
_atom_site_type_symbol
_atom_site_fract_x
_atom_site_fract_y
_atom_site_fract_z
U1 U 0.190 0.250 0.186
Tl1 Tl 0.233 0.750 0.697
Te1 Te 0.068 0.250 0.879
Te2 Te 0.150 0.250 0.442
Te3 Te 0.399 0.750 0.105
Se1 Se 0.377 0.750 0.335
# Volume: 200.0 Å³/f.u.
# E_form (uncorrected): -0.484 eV per atom



# 2
# PBE U3Tl4Te8Se, relaxed
data_U3Tl4Te8Se
_space_group_name_H-M_alt 'C 1 2/m 1'
_space_group_IT_number 12
_space_group_name_Hall '-C 2y'
_cell_length_a 15.794
_cell_length_b 8.811
_cell_length_c 9.557
_cell_angle_alpha 90.00
_cell_angle_beta 120.71
_cell_angle_gamma 90.00
loop_
_atom_site_label
_atom_site_type_symbol
_atom_site_fract_x
_atom_site_fract_y
_atom_site_fract_z
U1 U 0.000 0.000 0.000
U2 U 0.250 0.250 0.000
Tl1 Tl 0.000 0.000 0.500
Tl2 Tl 0.000 0.500 0.500
Tl3 Tl 0.250 0.250 0.500
Te1 Te 0.017 0.264 0.803
Te2 Te 0.234 0.000 0.215
Te3 Te 0.235 0.000 0.768
Se1 Se 0.000 0.500 0.000
# Volume: 571.7 Å³/f.u.
# E_form (uncorrected): -0.378 eV per atom



# 3
# PBE UTl2Te2Se6, relaxed
data_UTl2Te2Se6
_space_group_name_H-M_alt 'C 1 2/m 1'
_space_group_IT_number 12
_space_group_name_Hall '-C 2y'
_cell_length_a 14.760
_cell_length_b 7.254
_cell_length_c 8.642
_cell_angle_alpha 90.00
_cell_angle_beta 124.17
_cell_angle_gamma 90.00
loop_
_atom_site_label
_atom_site_type_symbol
_atom_site_fract_x
_atom_site_fract_y
_atom_site_fract_z
U1 U 0.000 0.000 0.000
Tl1 Tl 0.235 0.000 0.737
Te1 Te 0.046 0.500 0.312
Se1 Se 0.096 0.248 0.883
Se2 Se 0.193 0.000 0.308
# Volume: 382.7 Å³/f.u.
# E_form (uncorrected): -0.377 eV per atom



# 4
# PBE UTl2TeSe4, relaxed
data_UTl2TeSe4
_space_group_name_H-M_alt 'P 1 2/m 1'
_space_group_IT_number 10
_space_group_name_Hall '-P 2y'
_cell_length_a 8.209
_cell_length_b 4.118
_cell_length_c 8.609
_cell_angle_alpha 90.00
_cell_angle_beta 115.29
_cell_angle_gamma 90.00
loop_
_atom_site_label
_atom_site_type_symbol
_atom_site_fract_x
_atom_site_fract_y
_atom_site_fract_z
U1 U 0.000 0.000 0.000
Tl1 Tl 0.000 0.000 0.500
Tl2 Tl 0.500 0.500 0.000
Te1 Te 0.500 0.500 0.500
Se1 Se 0.069 0.500 0.815
Se2 Se 0.377 0.000 0.243
# Volume: 263.1 Å³/f.u.
# E_form (uncorrected): -0.554 eV per atom



# 5
# PBE Y6TlTe3Se2, relaxed
data_Y6TlTe3Se2
_space_group_name_H-M_alt 'C 1 2/m 1'
_space_group_IT_number 12
_space_group_name_Hall '-C 2y'
_cell_length_a 7.393
_cell_length_b 12.746
_cell_length_c 7.517
_cell_angle_alpha 90.00
_cell_angle_beta 108.98
_cell_angle_gamma 90.00
loop_
_atom_site_label
_atom_site_type_symbol
_atom_site_fract_x
_atom_site_fract_y
_atom_site_fract_z
Y1 Y 0.234 0.000 0.225
Y2 Y 0.247 0.330 0.229
Tl1 Tl 0.000 0.500 0.000
Te1 Te 0.000 0.000 0.500
Te2 Te 0.000 0.336 0.500
Se1 Se 0.000 0.167 0.000
# Volume: 334.9 Å³/f.u.
# E_form (uncorrected): -1.330 eV per atom



# 6
# PBE Y4TlTe2Se, relaxed
data_Y4TlTe2Se
_space_group_name_H-M_alt 'P 1 2/m 1'
_space_group_IT_number 10
_space_group_name_Hall '-P 2y'
_cell_length_a 7.480
_cell_length_b 4.272
_cell_length_c 7.549
_cell_angle_alpha 90.00
_cell_angle_beta 108.98
_cell_angle_gamma 90.00
loop_
_atom_site_label
_atom_site_type_symbol
_atom_site_fract_x
_atom_site_fract_y
_atom_site_fract_z
Y1 Y 0.240 0.000 0.228
Y2 Y 0.252 0.500 0.763
Tl1 Tl 0.500 0.000 0.000
Te1 Te 0.000 0.000 0.500
Te2 Te 0.500 0.500 0.500
Se1 Se 0.000 0.500 0.000
# Volume: 228.1 Å³/f.u.
# E_form (uncorrected): -1.205 eV per atom



# 7
# PBE YTl2TeSe, relaxed
data_YTl2TeSe
_space_group_name_H-M_alt 'P 4/m m m'
_space_group_IT_number 123
_space_group_name_Hall '-P 4 2'
_cell_length_a 6.195
_cell_length_b 6.195
_cell_length_c 5.558
_cell_angle_alpha 90.00
_cell_angle_beta 90.00
_cell_angle_gamma 90.00
loop_
_atom_site_label
_atom_site_type_symbol
_atom_site_fract_x
_atom_site_fract_y
_atom_site_fract_z
Y1 Y 0.000 0.000 0.000
Tl1 Tl 0.000 0.500 0.000
Te1 Te 0.000 0.000 0.500
Se1 Se 0.500 0.500 0.500
# Volume: 213.3 Å³/f.u.
# E_form (uncorrected): 0.196 eV per atom



# 8
# PBE Y6Tl3TeSe2, relaxed
data_Y6Tl3TeSe2
_space_group_name_H-M_alt 'C 1 2/m 1'
_space_group_IT_number 12
_space_group_name_Hall '-C 2y'
_cell_length_a 19.622
_cell_length_b 4.067
_cell_length_c 9.118
_cell_angle_alpha 90.00
_cell_angle_beta 112.84
_cell_angle_gamma 90.00
loop_
_atom_site_label
_atom_site_type_symbol
_atom_site_fract_x
_atom_site_fract_y
_atom_site_fract_z
Y1 Y 0.010 0.000 0.251
Y2 Y 0.168 0.500 0.095
Y3 Y 0.173 0.500 0.562
Tl1 Tl 0.000 0.500 0.500
Tl2 Tl 0.160 0.000 0.818
Te1 Te 0.000 0.500 0.000
Se1 Se 0.168 0.000 0.328
# Volume: 335.3 Å³/f.u.
# E_form (uncorrected): -0.984 eV per atom



# 9
# PBE ZrTlTeSe, relaxed
data_ZrTlTeSe
_space_group_name_H-M_alt 'R 3 m'
_space_group_IT_number 160
_space_group_name_Hall 'R 3 -2"'
_cell_length_a 3.8723
_cell_length_b 3.8723
_cell_length_c 26.5528
_cell_angle_alpha 90.00
_cell_angle_beta 90.00
_cell_angle_gamma 120.00
loop_
_atom_site_label
_atom_site_type_symbol
_atom_site_fract_x
_atom_site_fract_y
_atom_site_fract_z
Zr1 Zr 0.0000 0.0000 0.0000
Tl1 Tl 0.0000 0.0000 0.1540
Te1 Te 0.0000 0.0000 0.5959
Se1 Se 0.0000 0.0000 0.3932
# Volume: 114.9 Å³/f.u.
# E_form (uncorrected): -0.840 eV per atom



# 10
# PBE TmTeSe, relaxed
data_TmTeSe
_space_group_name_H-M_alt 'C 1 2/m 1'
_space_group_IT_number 12
_space_group_name_Hall '-C 2y'
_cell_length_a 11.071
_cell_length_b 3.949
_cell_length_c 8.155
_cell_angle_alpha 90.00
_cell_angle_beta 102.93
_cell_angle_gamma 90.00
loop_
_atom_site_label
_atom_site_type_symbol
_atom_site_fract_x
_atom_site_fract_y
_atom_site_fract_z
Tm1 Tm 0.058 0.000 0.311
Te1 Te 0.151 0.500 0.623
Se1 Se 0.106 0.500 0.086
# Volume: 86.9 Å³/f.u.
# E_form (uncorrected): -1.191 eV per atom
# Energy above the lowest structure with this stoichiometry: 167 meV/atom



# 11
# PBE TmTeSe, relaxed
data_TmTeSe
_space_group_name_H-M_alt 'I 4 m m'
_space_group_IT_number 107
_space_group_name_Hall 'I 4 -2'
_cell_length_a 3.729
_cell_length_b 3.729
_cell_length_c 10.972
_cell_angle_alpha 90.00
_cell_angle_beta 90.00
_cell_angle_gamma 90.00
loop_
_atom_site_label
_atom_site_type_symbol
_atom_site_fract_x
_atom_site_fract_y
_atom_site_fract_z
Tm1 Tm 0.000 0.000 0.000
Te1 Te 0.000 0.000 0.679
Se1 Se 0.000 0.000 0.392
# Volume: 76.3 Å³/f.u.
# E_form (uncorrected): -1.117 eV per atom
# Energy above the lowest structure with this stoichiometry: 242 meV/atom



# 12
# PBE Tm5TeSe4, relaxed
data_Tm5TeSe4
_space_group_name_H-M_alt 'R -3 m'
_space_group_IT_number 166
_space_group_name_Hall '-R 3 2"'
_cell_length_a 4.0619
_cell_length_b 4.0619
_cell_length_c 50.1884
_cell_angle_alpha 90.00
_cell_angle_beta 90.00
_cell_angle_gamma 120.00
loop_
_atom_site_label
_atom_site_type_symbol
_atom_site_fract_x
_atom_site_fract_y
_atom_site_fract_z
Tm1 Tm 0.0000 0.0000 0.0000
Tm2 Tm 0.0000 0.0000 0.2062
Tm3 Tm 0.0000 0.0000 0.3984
Te1 Te 0.0000 0.0000 0.5000
Se1 Se 0.0000 0.0000 0.0964
Se2 Se 0.0000 0.0000 0.3011
# Volume: 239.0 Å³/f.u.
# E_form (uncorrected): -1.567 eV per atom
# Energy above the lowest structure with this stoichiometry: 0 meV/atom



What are the mass density values for these records? In order: 7.51 7.64 5.97 6.88 6.34 6.51 5.48 7.09 7.25 7.18 8.17 8.95 g cm⁻³.
What are the M_tot values for these records? In order: 1.0 7.9 0.1 2.0 0.0 0.0 0.0 0.0 0.0 0.0 0.0 0.0 μB per formula unit.